Ni5H5Rh: relaxed, PBE.

a b c (Å): 3.7662 4.6036 5.3159
angles (deg): 106.51 90.00 114.15
Closest atoms and distances in Å follow each position.
Element x y z (fractional)
Ni: 0.6729 0.3457 0.3395  5 H 1.77-1.93
Ni: 0.6630 0.3259 0.8219  5 H 1.86-2.01
Ni: 0.0000 0.0000 0.5000  4 H 1.82-1.88
Ni: 0.3370 0.6741 0.1781  5 H 1.86-2.01
Ni: 0.3271 0.6543 0.6605  5 H 1.77-1.93
H: 0.8350 0.6700 0.1837  5 Ni 1.80-2.01, 1 Rh 1.93
H: 0.8272 0.6544 0.6546  5 Ni 1.77-1.88, 1 Rh 1.95
H: 0.5000 0.0000 0.0000  2 Rh 1.88, 4 Ni 1.89-1.93
H: 0.1728 0.3456 0.3454  5 Ni 1.77-1.88, 1 Rh 1.95
H: 0.1650 0.3300 0.8163  5 Ni 1.80-2.01, 1 Rh 1.93
Rh: 0.0000 0.0000 0.0000  6 H 1.88-1.95

Calculated values
* space-group type: C2/m
* magnetic moment: 0.013 μB/atom
* DFT total energy: -4.84 eV per atom